LiSi2PdAu, relaxed, DFT GGA-PBE; energy relative to the elements, uncorrected = 0.587 eV/atom; total moment = 0.00 Bohr magnetons per cell; space group = P4/mmm (123)
1.0
4.6961 0.0000 0.0000
0.0000 4.6961 0.0000
0.0000 0.0000 5.2453
Li Si Pd Au
1 2 1 1
Cartesian
0.0000 0.0000 0.0000 Li
0.0000 2.3481 2.6227 Si
2.3481 0.0000 2.6227 Si
2.3481 2.3481 0.0000 Pd
2.3481 2.3481 2.6227 Au

Li2Si2Pd5Au, relaxed, DFT GGA-PBE; energy relative to the elements, uncorrected = -0.535 eV/atom; total moment = 0.00 Bohr magnetons per cell; space group = P4/mbm (127)
1.0
9.3840 0.0000 0.0000
0.0000 9.3840 0.0000
0.0000 0.0000 3.5786
Li Si Pd Au
4 4 10 2
Cartesian
1.5960 3.0960 0.0000 Li
3.0960 7.7880 0.0000 Li
6.2880 1.5960 0.0000 Li
7.7880 6.2880 0.0000 Li
1.2095 5.9015 0.0000 Si
3.4825 1.2095 0.0000 Si
5.9015 8.1744 0.0000 Si
8.1744 3.4825 0.0000 Si
0.0000 4.6920 1.7893 Pd
0.7093 7.4206 1.7893 Pd
1.9633 0.7093 1.7893 Pd
2.7287 5.4013 1.7893 Pd
3.9827 2.7287 1.7893 Pd
4.6920 0.0000 1.7893 Pd
5.4013 6.6553 1.7893 Pd
6.6553 3.9827 1.7893 Pd
7.4206 8.6746 1.7893 Pd
8.6746 1.9633 1.7893 Pd
0.0000 0.0000 0.0000 Au
4.6920 4.6920 0.0000 Au

LiSiPdAu, relaxed, DFT GGA-PBE; energy relative to the elements, uncorrected = -0.461 eV/atom; total moment = 0.00 Bohr magnetons per cell; space group = F-43m (216)
1.0
0.0000 3.0501 3.0501
3.0501 0.0000 3.0501
3.0501 3.0501 0.0000
Li Si Pd Au
1 1 1 1
Cartesian
0.0000 0.0000 0.0000 Li
3.0501 3.0501 3.0501 Si
4.5752 4.5752 4.5752 Pd
1.5251 1.5251 1.5251 Au

LiSnPdAu, relaxed, DFT GGA-PBE; total moment = 0.00 Bohr magnetons per cell; energy relative to the elements = -0.497 eV per atom; space group = F-43m (216)
1.0
0.0000 3.2454 3.2454
3.2454 0.0000 3.2454
3.2454 3.2454 0.0000
Li Sn Pd Au
1 1 1 1
Cartesian
0.0000 0.0000 0.0000 Li
3.2454 3.2454 3.2454 Sn
1.6227 1.6227 1.6227 Pd
4.8680 4.8680 4.8680 Au

SrLiPdAu, relaxed, DFT GGA-PBE; excess energy over the best structure of this formula in the dataset = 0.000 eV/atom; total moment = 0.00 Bohr magnetons per cell; energy relative to the elements = -0.580 eV per atom; space group = Cm (8)
1.0
3.8994 -2.2558 0.0000
3.8994 2.2558 0.0000
-2.6068 0.0000 5.2290
Sr Li Pd Au
1 1 1 1
Cartesian
0.0000 0.0000 0.0000 Sr
2.5951 0.0000 2.6005 Li
5.1945 0.0000 2.0178 Pd
-0.0054 0.0000 3.2066 Au

Sr2Li3Pd12Au, relaxed, DFT GGA-PBE; total moment = 0.00 Bohr magnetons per cell; energy relative to the elements = -0.158 eV per atom; space group = R-3m (166)
1.0
2.8156 1.6256 12.1918
-2.8156 1.6256 12.1918
0.0000 -3.2512 12.1918
Sr Li Pd Au
2 3 12 1
Cartesian
0.0000 0.0000 5.1582 Sr
0.0000 0.0000 31.4173 Sr
-1.4078 -0.8128 12.1918 Li
-1.4078 0.8128 24.3836 Li
0.0000 1.6256 12.1918 Li
-1.4004 -0.8085 16.0989 Pd
0.0000 -1.7000 10.4108 Pd
-1.4723 0.8500 10.4108 Pd
-1.4723 -0.8500 26.1646 Pd
0.0000 -1.6171 20.4765 Pd
-1.4004 0.8085 20.4765 Pd
1.4004 -0.8085 16.0989 Pd
0.0000 1.6171 16.0989 Pd
1.4723 0.8500 10.4109 Pd
1.4723 -0.8500 26.1646 Pd
0.0000 1.7000 26.1646 Pd
1.4004 0.8085 20.4765 Pd
0.0000 0.0000 18.2877 Au

SrLiPdAu, relaxed, DFT GGA-PBE; excess energy over the best structure of this formula in the dataset = 0.133 eV/atom; total moment = 0.00 Bohr magnetons per cell; energy relative to the elements = -0.448 eV per atom; space group = F-43m (216)
1.0
0.0000 3.4595 3.4595
3.4595 0.0000 3.4595
3.4595 3.4595 0.0000
Sr Li Pd Au
1 1 1 1
Cartesian
0.0000 0.0000 0.0000 Sr
1.7297 1.7297 1.7297 Li
5.1892 5.1892 5.1892 Pd
3.4595 3.4595 3.4595 Au

Sr2LiPd6Au, relaxed, DFT GGA-PBE; total moment = 0.00 Bohr magnetons per cell; energy relative to the elements = -0.352 eV per atom; space group = P-1 (2)
1.0
6.6552 0.0000 0.0000
-3.2674 5.8161 0.0000
-3.3142 -1.9491 5.5318
Sr Li Pd Au
2 1 6 1
Cartesian
-0.9336 0.5469 1.6695 Sr
1.0072 3.3200 3.8623 Sr
1.6705 -0.9746 2.7659 Li
-3.0478 2.9748 1.9154 Pd
-0.7886 3.7191 0.6797 Pd
-2.5082 3.3079 4.5289 Pd
2.5819 0.5590 1.0029 Pd
0.8622 0.1479 4.8521 Pd
3.1214 0.8922 3.6164 Pd
1.6939 2.9080 0.0000 Au

SrLi4PdAu2, relaxed, DFT GGA-PBE; total moment = 0.00 Bohr magnetons per cell; energy relative to the elements = -0.449 eV per atom; space group = R-3m (166)
1.0
2.2234 1.2837 8.7003
-2.2234 1.2837 8.7003
0.0000 -2.5674 8.7003
Sr Li Pd Au
1 4 1 2
Cartesian
0.0000 0.0000 0.0000 Sr
0.0000 0.0000 3.5808 Li
0.0000 0.0000 10.6512 Li
0.0000 0.0000 15.4496 Li
0.0000 0.0000 22.5200 Li
0.0000 0.0000 13.0504 Pd
0.0000 0.0000 6.3482 Au
0.0000 0.0000 19.7526 Au

SrLi2PdAu, relaxed, DFT GGA-PBE; total moment = 0.00 Bohr magnetons per cell; energy relative to the elements = -0.338 eV per atom; space group = P4/mmm (123)
1.0
4.6774 0.0000 0.0000
0.0000 4.6774 0.0000
0.0000 0.0000 5.3554
Sr Li Pd Au
1 2 1 1
Cartesian
0.0000 0.0000 0.0000 Sr
0.0000 2.3387 2.6777 Li
2.3387 0.0000 2.6777 Li
2.3387 2.3387 2.6777 Pd
2.3387 2.3387 0.0000 Au